First-principles (PBE-GGA) data for a relaxed structure of BaMnS2, as listed in Alexandria via LeMat-Bulk.

Cell: 7.189 4.158 14.018 Å, 90.00 90.00 90.00°
Atoms (fractional coordinates):
Ba1 0.207 0.250 0.128
Ba2 0.293 0.750 0.628
Ba3 0.707 0.250 0.372
Ba4 0.793 0.750 0.872
Mn1 0.232 0.750 0.364
Mn2 0.268 0.250 0.864
Mn3 0.732 0.750 0.136
Mn4 0.768 0.250 0.636
S1 0.031 0.250 0.741
S2 0.238 0.750 0.952
S3 0.262 0.250 0.452
S4 0.469 0.750 0.241
S5 0.531 0.250 0.759
S6 0.738 0.750 0.548
S7 0.762 0.250 0.048
S8 0.969 0.750 0.259

## Properties
SG ... Pnma (62)
Raw formation energy ... -1335 meV per atom